# 1
A relaxed CsMg6Pb6 crystal. Source: Alexandria, functional GGA-PBE.

a b c (Å): 6.283 8.323 8.323
angles (deg): 80.44 67.83 67.83
Fractional coordinates of all 13 atoms:
Cs  0.000  0.000  0.000
Mg  0.000  0.500  0.000
Mg  0.500  0.500  0.000
Mg  0.000  0.000  0.500
Mg  0.500  0.000  0.500
Mg  0.500  0.764  0.236
Mg  0.500  0.236  0.764
Pb  0.348  0.652  0.652
Pb  0.652  0.348  0.348
Pb  0.000  0.348  0.652
Pb  0.000  0.652  0.348
Pb  0.307  0.193  0.193
Pb  0.693  0.807  0.807

Results
Formation energy from the elements ... -0.050 eV/atom


# 2
A relaxed Cs2RbMgPb crystal. Source: Alexandria, functional GGA-PBE.

a b c (Å): 7.865 7.865 5.595
angles (deg): 90.00 90.00 90.00
Fractional coordinates of all 5 atoms:
Pb  0.000  0.000  0.000
Cs  0.000  0.500  0.000
Cs  0.500  0.000  0.000
Mg  0.000  0.000  0.500
Rb  0.500  0.500  0.500

Results
Formation energy from the elements ... 0.087 eV/atom


# 3
A relaxed Cs2MgSiPb crystal. Source: Alexandria, functional GGA-PBE.

a b c (Å): 7.268 5.348 7.268
angles (deg): 90.00 90.00 90.00
Site moments in Bohr magnetons follow the coordinates.
Fractional coordinates of all 5 atoms:
Pb  0.000  0.500  0.000  -0.17
Cs  0.000  0.000  0.500  0.01
Cs  0.500  0.000  0.000  0.01
Si  0.500  0.500  0.500  0.59
Mg  0.000  0.000  0.000  0.00

Results
Raw formation energy ... 674.6 meV/atom


# 4
A relaxed CsSrMgPb2 crystal. Source: Alexandria, functional GGA-PBE.

a b c (Å): 5.755 6.193 5.755
angles (deg): 90.00 90.00 90.00
Fractional coordinates of all 5 atoms:
Pb  0.000  0.000  0.500
Pb  0.500  0.000  0.000
Cs  0.500  0.500  0.500
Mg  0.000  0.000  0.000
Sr  0.000  0.500  0.000

Results
Formation energy from the elements ... 0.061 eV/atom


# 5
A relaxed Cs2MgTlPb2 crystal. Source: Alexandria, functional GGA-PBE.

a b c (Å): 7.093 7.145 10.974
angles (deg): 109.00 108.86 90.00
Fractional coordinates of all 12 atoms:
Cs  0.407  0.172  0.344
Cs  0.593  0.828  0.656
Cs  0.063  0.328  0.656
Cs  0.937  0.672  0.344
Mg  0.500  0.750  0.000
Mg  0.500  0.250  0.000
Tl  0.000  0.750  0.000
Tl  0.000  0.250  0.000
Pb  0.832  0.098  0.196
Pb  0.364  0.598  0.196
Pb  0.636  0.402  0.804
Pb  0.168  0.902  0.804

Results
Formation energy from the elements ... -0.127 eV/atom


# 6
A relaxed CsMg2Tl4Pb crystal. Source: Alexandria, functional GGA-PBE.

a b c (Å): 5.354 5.354 11.720
angles (deg): 76.80 76.80 60.00
Fractional coordinates of all 8 atoms:
Cs  0.000  0.000  0.000
Mg  0.786  0.786  0.642
Mg  0.214  0.214  0.358
Tl  0.407  0.407  0.779
Tl  0.882  0.882  0.355
Tl  0.118  0.118  0.645
Tl  0.593  0.593  0.221
Pb  0.500  0.500  0.500

Results
Formation energy from the elements ... -0.036 eV/atom


# 7
A relaxed CsMg2TlPb4 crystal. Source: Alexandria, functional GGA-PBE.

a b c (Å): 5.488 5.488 11.606
angles (deg): 76.32 76.32 60.00
Fractional coordinates of all 8 atoms:
Cs  0.000  0.000  0.000
Mg  0.784  0.784  0.647
Mg  0.216  0.216  0.353
Tl  0.500  0.500  0.500
Pb  0.411  0.411  0.768
Pb  0.882  0.882  0.354
Pb  0.118  0.118  0.646
Pb  0.589  0.589  0.232

Results
Formation energy from the elements ... -0.005 eV/atom


# 8
A relaxed Cs3MgPd crystal. Source: Alexandria, functional GGA-PBE.

a b c (Å): 6.781 6.781 6.781
angles (deg): 90.00 90.00 90.00
Fractional coordinates of all 5 atoms:
Cs  0.000  0.500  0.000
Cs  0.000  0.000  0.500
Cs  0.500  0.000  0.000
Mg  0.500  0.500  0.500
Pd  0.000  0.000  0.000

Results
Formation energy from the elements ... 0.233 eV/atom